# RePbC2Br, optimized geometry, DFT GGA-PBE
# Energy relative to the elements, uncorrected (eV/f.u.): 5.096
# M_tot (μB per formula unit): 0.000
# D(E_F) (states/eV per cell): 0.9
# Crystal system: tetragonal
data_RePbC2Br
_cell_length_a 4.089
_cell_length_b 4.089
_cell_length_c 5.752
_cell_angle_alpha 90.00
_cell_angle_beta 90.00
_cell_angle_gamma 90.00
_symmetry_space_group_name_H-M 'P 4/m m m'
_symmetry_Int_Tables_number 123
_symmetry_space_group_name_Hall '-P 4 2'
loop_
_atom_site_label
_atom_site_type_symbol
_atom_site_fract_x
_atom_site_fract_y
_atom_site_fract_z
Re1 Re 0.000 0.000 0.000
Pb1 Pb 0.000 0.000 0.500
C1 C 0.000 0.500 0.000
Br1 Br 0.500 0.500 0.500